UTc2Ge: optimized geometry, GGA-PBE.

spin magnetization: 0.00 μB per atom
formation enthalpy at 0 K: -0.286 eV per atom
energy above the most stable polymorph in this dataset: 0.00 kJ per mole of atoms
D(E_F): 0.492 states/eV per atom

Lattice parameters (Å, degrees): 4.3214 4.3214 3.5470 90.00 90.00 90.00
With the nearest neighbours (Å) after each atom.
Space group P4/mmm (No. 123)
One atom of each set of equivalent atoms:
U  0.0000  0.0000  0.0000 (multiplicity 1)  8 Tc 2.80, 4 Ge 3.06
Tc  0.0000  0.5000  0.5000 (multiplicity 2)  4 Ge 2.80, 4 U 2.80, 4 Tc 3.06
Ge  0.5000  0.5000  0.0000 (multiplicity 1)  8 Tc 2.80, 4 U 3.06